No. 1
A relaxed structure of HOsNF2, computed with PBE-GGA.

a b c (Å): 2.942 2.942 5.454
angles (deg): 90.00 90.00 90.00
Last column: magnetic moment on the atom in μB.
Atoms (fractional coordinates):
Os 0.500 0.500 0.500  0.71
H 0.000 0.000 0.000  -0.01
F 0.500 0.000 0.000  0.21
F 0.000 0.500 0.000  0.21
N 0.000 0.000 0.500  0.01

Results
**Offset from the most stable computed form**: 1.86 eV/f.u.
**Total energy**: -24.715 eV per cell
**Total magnetization**: 0.251 μB/atom

***

No. 2
A relaxed structure of HOsNF2, computed with PBE-GGA.

a b c (Å): 4.129 4.129 3.712
angles (deg): 90.00 90.00 90.00
Last column: magnetic moment on the atom in μB.
Atoms (fractional coordinates):
H 0.500 0.500 0.500  0.37
F 0.500 0.000 0.000  0.01
F 0.000 0.500 0.000  0.01
N 0.000 0.000 0.500  -0.09
Os 0.000 0.000 0.000  -0.24

Results
**Offset from the most stable computed form**: 0.00 eV/f.u.
**Total energy**: -26.575 eV per cell
**Total magnetization**: 0.104 μB/atom

***

No. 3
A relaxed structure of PaHN2F, computed with PBE-GGA.

a b c (Å): 3.616 6.517 5.974
angles (deg): 109.02 90.00 90.00
Atoms (fractional coordinates):
H 0.750 0.800 0.158
N 0.250 0.128 0.660
H 0.250 0.200 0.842
Pa 0.750 0.250 0.454
F 0.250 0.148 0.187
N 0.750 0.872 0.340
Pa 0.250 0.750 0.546
N 0.750 0.538 0.360
N 0.250 0.462 0.640
F 0.750 0.852 0.813

Results
**Total energy**: -76.727 eV per cell
**Total magnetization**: 0.000 μB/atom

***

No. 4
A relaxed structure of PaHNF, computed with PBE-GGA.

a b c (Å): 3.865 3.865 3.865
angles (deg): 60.00 60.00 60.00
Atoms (fractional coordinates):
N 0.250 0.250 0.250
H 0.750 0.750 0.750
F 0.500 0.500 0.500
Pa 0.000 0.000 0.000

Results
**Total energy**: -29.409 eV per cell
**Total magnetization**: 0.000 μB/atom

***

No. 5
A relaxed structure of H2PbNF, computed with PBE-GGA.

a b c (Å): 3.763 4.974 7.239
angles (deg): 90.00 90.00 112.23
Atoms (fractional coordinates):
Pb 0.578 0.156 0.250
N 0.000 0.000 0.500
H 0.098 0.196 0.560
F 0.322 0.644 0.250
F 0.678 0.356 0.750
H 0.098 0.196 0.940
H 0.902 0.804 0.060
Pb 0.422 0.844 0.750
H 0.902 0.804 0.440
N 0.000 0.000 0.000

Results
**Total energy**: -46.733 eV per cell
**Total magnetization**: 0.000 μB/atom

***

No. 6
A relaxed structure of RbHNF2, computed with PBE-GGA.

a b c (Å): 4.900 4.900 2.820
angles (deg): 90.00 90.00 90.00
Last column: magnetic moment on the atom in μB.
Atoms (fractional coordinates):
Rb 0.500 0.500 0.500  0.00
N 0.000 0.000 0.500  1.45
F 0.000 0.500 0.000  0.25
H 0.000 0.000 0.000  -0.01
F 0.500 0.000 0.000  0.25

Results
**Offset from the most stable computed form**: 0.00 eV/f.u.
**Total energy**: -17.325 eV per cell
**Total magnetization**: 0.523 μB/atom

***

No. 7
A relaxed structure of RbHNF2, computed with PBE-GGA.

a b c (Å): 5.102 5.102 6.229
angles (deg): 90.00 90.00 90.00
Last column: magnetic moment on the atom in μB.
Atoms (fractional coordinates):
F 0.000 0.500 0.000  0.39
Rb 0.000 0.000 0.000  0.08
N 0.000 0.000 0.500  1.95
H 0.500 0.500 0.500  0.36
F 0.500 0.000 0.000  0.39

Results
**Offset from the most stable computed form**: 3.86 eV/f.u.
**Total energy**: -13.467 eV per cell
**Total magnetization**: 0.975 μB/atom

***

No. 8
A relaxed structure of ReHNF2, computed with PBE-GGA.

a b c (Å): 4.094 4.094 3.761
angles (deg): 90.00 90.00 90.00
Last column: magnetic moment on the atom in μB.
Atoms (fractional coordinates):
N 0.000 0.000 0.500  0.00
H 0.500 0.500 0.500  0.38
F 0.500 0.000 0.000  0.02
F 0.000 0.500 0.000  0.02
Re 0.000 0.000 0.000  0.09

Results
**Offset from the most stable computed form**: 0.00 eV/f.u.
**Total energy**: -29.285 eV per cell
**Total magnetization**: 0.211 μB/atom

***

| no. | volume (A^3/atom) | density of states at the Fermi level (states/eV per atom) |
| --- | --- | --- |
| 1 | 9.44 | 0.599 |
| 2 | 12.65 | 0.703 |
| 3 | 13.31 | 0.084 |
| 4 | 10.21 | 0.000 |
| 5 | 12.54 | 0.000 |
| 6 | 13.54 | 0.694 |
| 7 | 32.43 | 1.599 |
| 8 | 12.61 | 0.322 |